A relaxed structure of PrBe2GeN, computed with PBE.

**Uncorrected energy**: -28.65 eV/f.u.
**Calculated volume**: 14.12 A^3/atom
**Total moment**: 0.000 μB/atom
**Formation energy from raw total energies**: -0.70 eV/atom

Cell and atoms, written as CIF:
```
data_PrBe2GeN
_chemical_formula_sum 'Pr4 Be8 Ge4 N4'
_cell_length_a 3.832
_cell_length_b 10.990
_cell_length_c 6.705
_cell_angle_alpha 90.00
_cell_angle_beta 90.00
_cell_angle_gamma 90.00
_space_group_name_H-M_alt 'C m c m'
_space_group_IT_number 63
_space_group_name_Hall '-C 2c 2'
loop_
_atom_site_label
_atom_site_type_symbol
_atom_site_fract_x
_atom_site_fract_y
_atom_site_fract_z
Pr1 Pr 0.000 0.060 0.250
Be1 Be 0.000 0.361 0.075
Ge1 Ge 0.000 0.219 0.750
N1 N 0.000 0.500 0.000
```

***

A relaxed structure of Sm5Sc4Cd, computed with PBE.

**Uncorrected energy**: -49.98 eV/f.u.
**Calculated volume**: 28.70 A^3/atom
**Total moment**: 0.000 μB/atom

Cell and atoms, written as CIF:
```
data_Sm5Sc4Cd
_chemical_formula_sum 'Sm5 Sc4 Cd1'
_cell_length_a 3.593
_cell_length_b 3.593
_cell_length_c 22.228
_cell_angle_alpha 90.00
_cell_angle_beta 90.00
_cell_angle_gamma 90.00
_space_group_name_H-M_alt 'P 4/m m m'
_space_group_IT_number 123
_space_group_name_Hall '-P 4 2'
loop_
_atom_site_label
_atom_site_type_symbol
_atom_site_fract_x
_atom_site_fract_y
_atom_site_fract_z
Sm1 Sm 0.000 0.000 0.000
Sm2 Sm 0.000 0.000 0.201
Sm3 Sm 0.000 0.000 0.404
Sc1 Sc 0.500 0.500 0.101
Sc2 Sc 0.500 0.500 0.302
Cd1 Cd 0.500 0.500 0.500
```

***

A relaxed structure of HoAlGaNi, computed with PBE.

**Uncorrected energy**: -18.81 eV/f.u.
**Calculated volume**: 17.02 A^3/atom
**Total moment**: 0.000 μB/atom

Cell and atoms, written as CIF:
```
data_HoAlGaNi
_chemical_formula_sum 'Ho4 Al4 Ga4 Ni4'
_cell_length_a 6.482
_cell_length_b 6.482
_cell_length_c 6.482
_cell_angle_alpha 90.00
_cell_angle_beta 90.00
_cell_angle_gamma 90.00
_space_group_name_H-M_alt 'F -4 3 m'
_space_group_IT_number 216
_space_group_name_Hall 'F -4 2 3'
loop_
_atom_site_label
_atom_site_type_symbol
_atom_site_fract_x
_atom_site_fract_y
_atom_site_fract_z
Ho1 Ho 0.000 0.000 0.000
Al1 Al 0.000 0.000 0.500
Ga1 Ga 0.250 0.250 0.250
Ni1 Ni 0.250 0.250 0.750
```

***

Question: The lowest calculated volume belongs to which entry?
Answer: PrBe2GeN

***

Question: Which value of uncorrected energy does entry 2 give?
Answer: -49.98 eV/f.u.

***

Question: Which value of calculated volume does entry 1 give?
Answer: 14.12 A^3/atom